Computed, not measured: a relaxed structure of KMgZr2 at the PBE-GGA level of DFT.

a b c (Å): 6.541 6.541 2.939
angles (deg): 90.00 90.00 121.78
Sites, in units of the cell vectors:
K 0.000 0.000 0.000
Mg 0.500 0.500 0.000
Zr 0.000 0.500 0.500
Zr 0.500 0.000 0.500

## Properties
energy of formation from the pure elements: 735 meV/atom
space-group type: Cmmm, No. 65

***

Computed, not measured: a relaxed structure of SmHo2Ni at the PBE-GGA level of DFT.

a b c (Å): 6.872 9.588 6.364
angles (deg): 90.00 90.00 90.00
Sites, in units of the cell vectors:
Sm 0.031 0.250 0.139
Sm 0.469 0.750 0.639
Sm 0.531 0.250 0.361
Sm 0.969 0.750 0.861
Ho 0.176 0.067 0.677
Ho 0.176 0.433 0.677
Ho 0.324 0.567 0.177
Ho 0.324 0.933 0.177
Ho 0.676 0.067 0.823
Ho 0.676 0.433 0.823
Ho 0.824 0.567 0.323
Ho 0.824 0.933 0.323
Ni 0.111 0.750 0.435
Ni 0.389 0.250 0.935
Ni 0.611 0.750 0.065
Ni 0.889 0.250 0.565

## Properties
energy of formation from the pure elements: -237 meV/atom
space-group type: Pnma, No. 62
energy above the most stable polymorph in this dataset: 0 meV per atom

***

Computed, not measured: a relaxed structure of KLiNbCl6 at the PBE-GGA level of DFT.

a b c (Å): 6.599 6.599 13.841
angles (deg): 90.00 90.00 120.00
Sites, in units of the cell vectors:
K 0.000 0.000 0.000
K 0.000 0.000 0.500
Li 0.333 0.667 0.250
Li 0.667 0.333 0.750
Nb 0.333 0.667 0.750
Nb 0.667 0.333 0.250
Cl 0.017 0.380 0.648
Cl 0.017 0.637 0.852
Cl 0.363 0.380 0.852
Cl 0.363 0.983 0.648
Cl 0.380 0.017 0.148
Cl 0.380 0.363 0.352
Cl 0.620 0.637 0.648
Cl 0.620 0.983 0.852
Cl 0.637 0.017 0.352
Cl 0.637 0.620 0.148
Cl 0.983 0.363 0.148
Cl 0.983 0.620 0.352

## Properties
energy relative to the elements, uncorrected: -13.77 eV per formula unit
space-group type: P-31c, No. 163

***

Computed, not measured: a relaxed structure of KFeSnRh2 at the PBE-GGA level of DFT.

a b c (Å): 4.613 4.613 5.446
angles (deg): 90.00 90.00 90.00
Sites, in units of the cell vectors:
K 0.000 0.000 0.000
Fe 0.500 0.500 0.500
Sn 0.000 0.000 0.500
Rh 0.000 0.500 0.000
Rh 0.500 0.000 0.000

## Properties
energy of formation from the pure elements: 2467 meV/atom
space-group type: P4/mmm, No. 123

***

Computed, not measured: a relaxed structure of PuGeS4 at the PBE-GGA level of DFT.

a b c (Å): 9.997 9.997 7.517
angles (deg): 106.79 106.79 31.55
Sites, in units of the cell vectors:
Pu 0.200 0.200 0.289
Pu 0.800 0.800 0.711
Ge 0.156 0.156 0.705
Ge 0.844 0.844 0.295
S 0.085 0.085 0.414
S 0.112 0.112 0.943
S 0.273 0.273 0.679
S 0.326 0.326 0.249
S 0.674 0.674 0.751
S 0.727 0.727 0.321
S 0.888 0.888 0.057
S 0.915 0.915 0.586

## Properties
energy relative to the elements, uncorrected: -3.64 eV per formula unit
space-group type: C2/m, No. 12

***

Computed, not measured: a relaxed structure of CeSmNiIr at the PBE-GGA level of DFT.

a b c (Å): 4.490 5.420 5.420
angles (deg): 41.00 90.00 90.00
Sites, in units of the cell vectors:
Ce 0.000 0.000 0.000
Sm 0.500 0.722 0.722
Ni 0.500 0.445 0.445
Ir 0.000 0.284 0.284

## Properties
energy of formation from the pure elements: -558 meV/atom
space-group type: Amm2, No. 38

***

Computed, not measured: a relaxed structure of KPm2Bi at the PBE-GGA level of DFT.

a b c (Å): 5.176 5.176 4.925
angles (deg): 90.00 90.00 90.00
Sites, in units of the cell vectors:
K 0.000 0.000 0.000
Pm 0.000 0.500 0.500
Pm 0.500 0.000 0.500
Bi 0.500 0.500 0.000

## Properties
energy of formation from the pure elements: -113 meV/atom
space-group type: P4/mmm, No. 123
energy above the most stable polymorph in this dataset: 0 meV per atom

***

Computed, not measured: a relaxed structure of ZrBe6Nb2 at the PBE-GGA level of DFT.

a b c (Å): 6.433 6.433 3.089
angles (deg): 90.00 90.00 120.00
Sites, in units of the cell vectors:
Zr 0.000 0.000 0.000
Be 0.000 0.338 0.500
Be 0.000 0.662 0.500
Be 0.338 0.000 0.500
Be 0.338 0.338 0.500
Be 0.662 0.000 0.500
Be 0.662 0.662 0.500
Nb 0.333 0.667 0.000
Nb 0.667 0.333 0.000

## Properties
energy of formation from the pure elements: -180 meV/atom
space-group type: P6/mmm, No. 191

***

Computed, not measured: a relaxed structure of PrCd3Rh at the PBE-GGA level of DFT.

a b c (Å): 10.151 10.151 10.151
angles (deg): 148.52 148.52 45.12
Sites, in units of the cell vectors:
Pr 0.207 0.207 0.000
Pr 0.793 0.793 0.000
Cd 0.374 0.622 0.752
Cd 0.378 0.130 0.752
Cd 0.378 0.626 0.248
Cd 0.531 0.031 0.500
Cd 0.870 0.622 0.248
Cd 0.969 0.469 0.500
Rh 0.250 0.750 0.500
Rh 0.500 0.500 0.000

## Properties
energy of formation from the pure elements: -119 meV/atom
space-group type: I-4m2, No. 119
energy above the most stable polymorph in this dataset: 249 meV per atom

***

Computed, not measured: a relaxed structure of CeTmIn6 at the PBE-GGA level of DFT.

a b c (Å): 4.667 4.667 9.300
angles (deg): 90.00 90.00 90.00
Sites, in units of the cell vectors:
Ce 0.000 0.000 0.000
Tm 0.000 0.000 0.500
In 0.000 0.500 0.255
In 0.000 0.500 0.745
In 0.500 0.000 0.255
In 0.500 0.000 0.745
In 0.500 0.500 0.000
In 0.500 0.500 0.500

## Properties
energy of formation from the pure elements: -392 meV/atom
space-group type: P4/mmm, No. 123
energy above the most stable polymorph in this dataset: 0 meV per atom

***

Computed, not measured: a relaxed structure of Cs2ScP at the PBE-GGA level of DFT.

a b c (Å): 10.273 10.273 10.273
angles (deg): 93.38 93.38 151.91
Sites, in units of the cell vectors:
Cs 0.375 0.197 0.322
Cs 0.803 0.125 0.178
Cs 0.875 0.053 0.678
Cs 0.947 0.625 0.822
Sc 0.250 0.750 0.500
Sc 0.500 0.500 0.000
P 0.000 0.000 0.000
P 0.750 0.250 0.500

## Properties
energy of formation from the pure elements: -100 meV/atom
space-group type: I-42d, No. 122

***

Computed, not measured: a relaxed structure of Ba2CdCuI at the PBE-GGA level of DFT.

a b c (Å): 6.300 6.300 4.987
angles (deg): 90.00 90.00 90.00
Sites, in units of the cell vectors:
Ba 0.000 0.500 0.000
Ba 0.500 0.000 0.000
Cd 0.000 0.000 0.500
Cu 0.000 0.000 0.000
I 0.500 0.500 0.500

## Properties
energy relative to the elements, uncorrected: -2.41 eV per formula unit
space-group type: P4/mmm, No. 123

***

Computed, not measured: a relaxed structure of NpAgHgI6 at the PBE-GGA level of DFT.

a b c (Å): 7.605 7.605 14.453
angles (deg): 90.00 90.00 120.00
Sites, in units of the cell vectors:
Np 0.333 0.667 0.250
Np 0.667 0.333 0.750
Ag 0.333 0.667 0.750
Ag 0.667 0.333 0.250
Hg 0.000 0.000 0.000
Hg 0.000 0.000 0.500
I 0.000 0.345 0.628
I 0.000 0.346 0.128
I 0.000 0.654 0.872
I 0.000 0.655 0.372
I 0.345 0.000 0.128
I 0.345 0.346 0.372
I 0.346 0.000 0.628
I 0.346 0.345 0.872
I 0.654 0.000 0.372
I 0.654 0.655 0.128
I 0.655 0.000 0.872
I 0.655 0.654 0.628

## Properties
energy relative to the elements, uncorrected: -4.22 eV per formula unit
space-group type: P-31c, No. 163

***

Computed, not measured: a relaxed structure of PuInPtAu at the PBE-GGA level of DFT.

a b c (Å): 4.930 4.930 4.930
angles (deg): 60.00 60.00 60.00
Sites, in units of the cell vectors:
Pu 0.000 0.000 0.000
In 0.500 0.500 0.500
Pt 0.750 0.750 0.750
Au 0.250 0.250 0.250

## Properties
energy of formation from the pure elements: -490 meV/atom
space-group type: F-43m, No. 216

***

Computed, not measured: a relaxed structure of Th3Si4Tc at the PBE-GGA level of DFT.

a b c (Å): 9.797 9.797 3.974
angles (deg): 90.00 90.00 153.69
Sites, in units of the cell vectors:
Th 0.000 0.000 0.000
Th 0.158 0.842 0.500
Th 0.842 0.158 0.500
Si 0.277 0.723 0.000
Si 0.401 0.599 0.000
Si 0.599 0.401 0.000
Si 0.723 0.277 0.000
Tc 0.500 0.500 0.500

## Properties
energy relative to the elements, uncorrected: -4.51 eV per formula unit
space-group type: Cmmm, No. 65

***

Computed, not measured: a relaxed structure of ZnSbF6 at the PBE-GGA level of DFT.

a b c (Å): 5.268 5.268 5.228
angles (deg): 96.35 96.35 120.54
Sites, in units of the cell vectors:
Zn 0.000 0.000 0.000
Sb 0.500 0.500 0.500
F 0.109 0.394 0.257
F 0.253 0.253 0.754
F 0.394 0.109 0.257
F 0.606 0.891 0.743
F 0.747 0.747 0.246
F 0.891 0.606 0.743

## Properties
energy relative to the elements, uncorrected: -17.55 eV per formula unit
space-group type: C2/m, No. 12
energy above the most stable polymorph in this dataset: 64 meV per atom

***

Computed, not measured: a relaxed structure of Dy2Si4Tc3 at the PBE-GGA level of DFT.

a b c (Å): 6.776 6.787 6.784
angles (deg): 90.00 110.18 90.00
Sites, in units of the cell vectors:
Dy 0.191 0.168 0.058
Dy 0.191 0.332 0.558
Dy 0.809 0.668 0.442
Dy 0.809 0.832 0.942
Si 0.103 0.552 0.878
Si 0.103 0.948 0.378
Si 0.487 0.642 0.632
Si 0.487 0.858 0.132
Si 0.513 0.142 0.868
Si 0.513 0.358 0.368
Si 0.897 0.052 0.622
Si 0.897 0.448 0.122
Tc 0.240 0.650 0.257
Tc 0.240 0.850 0.757
Tc 0.500 0.000 0.500
Tc 0.500 0.500 0.000
Tc 0.760 0.150 0.243
Tc 0.760 0.350 0.743

## Properties
energy relative to the elements, uncorrected: -6.61 eV per formula unit
space-group type: P2_1/c, No. 14
energy above the most stable polymorph in this dataset: 0 meV per atom

***

Computed, not measured: a relaxed structure of LaCo4Pt at the PBE-GGA level of DFT.

a b c (Å): 5.028 5.028 5.028
angles (deg): 60.00 60.00 60.00
Sites, in units of the cell vectors:
La 0.000 0.000 0.000
Co 0.377 0.377 0.377
Co 0.377 0.377 0.870
Co 0.377 0.870 0.377
Co 0.870 0.377 0.377
Pt 0.750 0.750 0.750

## Properties
energy of formation from the pure elements: -55 meV/atom
space-group type: F-43m, No. 216

***

Computed, not measured: a relaxed structure of CaThBr6 at the PBE-GGA level of DFT.

a b c (Å): 9.212 4.185 13.961
angles (deg): 90.00 90.00 90.00
Sites, in units of the cell vectors:
Ca 0.250 0.000 0.226
Ca 0.750 0.000 0.774
Th 0.250 0.500 0.752
Th 0.750 0.500 0.248
Br 0.053 0.500 0.334
Br 0.074 0.000 0.855
Br 0.250 0.000 0.605
Br 0.250 0.500 0.087
Br 0.426 0.000 0.855
Br 0.447 0.500 0.334
Br 0.553 0.500 0.666
Br 0.574 0.000 0.145
Br 0.750 0.000 0.395
Br 0.750 0.500 0.913
Br 0.926 0.000 0.145
Br 0.947 0.500 0.666

## Properties
energy relative to the elements, uncorrected: -14.22 eV per formula unit
space-group type: Pmma, No. 51
energy above the most stable polymorph in this dataset: 50 meV per atom

***

Computed, not measured: a relaxed structure of La16Pm7Tm6 at the PBE-GGA level of DFT.

a b c (Å): 11.494 11.494 11.494
angles (deg): 60.00 60.00 60.00
Sites, in units of the cell vectors:
La 0.049 0.650 0.650
La 0.125 0.125 0.125
La 0.125 0.125 0.626
La 0.125 0.626 0.125
La 0.350 0.350 0.350
La 0.350 0.350 0.951
La 0.350 0.951 0.350
La 0.374 0.875 0.875
La 0.626 0.125 0.125
La 0.650 0.049 0.650
La 0.650 0.650 0.049
La 0.650 0.650 0.650
La 0.875 0.374 0.875
La 0.875 0.875 0.374
La 0.875 0.875 0.875
La 0.951 0.350 0.350
Pm 0.000 0.000 0.000
Pm 0.000 0.000 0.500
Pm 0.000 0.500 0.000
Pm 0.000 0.500 0.500
Pm 0.500 0.000 0.000
Pm 0.500 0.000 0.500
Pm 0.500 0.500 0.000
Tm 0.261 0.261 0.739
Tm 0.261 0.739 0.261
Tm 0.261 0.739 0.739
Tm 0.739 0.261 0.261
Tm 0.739 0.261 0.739
Tm 0.739 0.739 0.261

## Properties
energy of formation from the pure elements: 204 meV/atom
space-group type: Fm-3m, No. 225

***

Result set for magnetic moment: 0.0; 0.0; 1.0; 0.5; 4.0; 0.2; 0.0; 0.0; 0.0; 0.8; 0.0; 0.0; 3.8; 5.2; 0.0; 0.0; 0.0; 6.7; 0.0; 0.0 μB per formula unit, one per record in the order listed.